Ta2IrSe: relaxed, GGA-PBE.

Cell lengths 4.923, 4.923, 5.556 Å; angles 90.00, 90.00, 90.00 degrees
Space group I4/mmm (No. 139)
One atom of each set of equivalent atoms:
Ta  0.000  0.500  0.250 [4 per cell]
Ir  0.000  0.000  0.000 [2 per cell]
Se  0.000  0.000  0.500 [2 per cell]

Values from the calculation:
Crystal system: tetragonal
E_form (uncorrected): -137.5 meV/atom


TaIr4Se: relaxed, GGA-PBE.

Cell lengths 7.361, 7.361, 7.361 Å; angles 90.00, 90.00, 90.00 degrees
Space group F-43m (No. 216)
One atom of each set of equivalent atoms:
Ta  0.000  0.000  0.000 [4 per cell]
Ir  0.125  0.125  0.625 [16 per cell]
Se  0.250  0.250  0.250 [4 per cell]

Values from the calculation:
Crystal system: cubic
E_form (uncorrected): 373.7 meV/atom


TaIrSe2: relaxed, GGA-PBE.

Cell lengths 3.874, 3.874, 8.996 Å; angles 90.00, 90.00, 90.00 degrees
Space group I-4m2 (No. 119)
One atom of each set of equivalent atoms:
Ta  0.000  0.000  0.000 [2 per cell]
Ir  0.000  0.500  0.750 [2 per cell]
Se  0.000  0.000  0.500 [2 per cell]
Se  0.000  0.500  0.250 [2 per cell]

Values from the calculation:
Crystal system: tetragonal
E_form (uncorrected): 214.1 meV/atom


TaIrSe2: relaxed, GGA-PBE.

Cell lengths 3.2121, 3.2121, 25.1779 Å; angles 90.00, 90.00, 120.00 degrees
Space group R-3m (No. 166, hexagonal axes)
One atom of each set of equivalent atoms:
Ta  0.0000  0.0000  0.0000 [3 per cell]
Ir  0.0000  0.0000  0.5000 [3 per cell]
Se  0.0000  0.0000  0.4051 [6 per cell]

Values from the calculation:
Crystal system: trigonal
E_form (uncorrected): -73.1 meV/atom


TaIrSe2: relaxed, GGA-PBE.

Cell lengths 3.4080, 3.4080, 24.4565 Å; angles 90.00, 90.00, 120.00 degrees
Space group R-3m (No. 166, hexagonal axes)
One atom of each set of equivalent atoms:
Ta  0.0000  0.0000  0.0000 [3 per cell]
Ir  0.0000  0.0000  0.5000 [3 per cell]
Se  0.0000  0.0000  0.1048 [6 per cell]

Values from the calculation:
Crystal system: trigonal
E_form (uncorrected): 353.2 meV/atom


TaIrSe2: relaxed, GGA-PBE.

Cell lengths 5.342, 6.185, 8.804 Å; angles 90.00, 90.00, 90.00 degrees
Space group Fmmm (No. 69)
One atom of each set of equivalent atoms:
Ta  0.000  0.000  0.000 [4 per cell]
Ir  0.000  0.000  0.500 [4 per cell]
Se  0.000  0.250  0.250 [8 per cell]

Values from the calculation:
Crystal system: orthorhombic
E_form (uncorrected): 174.8 meV/atom


Ta2IrSe: relaxed, GGA-PBE.

Cell lengths 3.1675, 3.1675, 25.9180 Å; angles 90.00, 90.00, 120.00 degrees
Space group R3m (No. 160, hexagonal axes)
One atom of each set of equivalent atoms:
Ta  0.0000  0.0000  0.0000 [3 per cell]
Ta  0.0000  0.0000  0.2453 [3 per cell]
Ir  0.0000  0.0000  0.7381 [3 per cell]
Se  0.0000  0.0000  0.5084 [3 per cell]

Values from the calculation:
Crystal system: trigonal
E_form (uncorrected): -166.3 meV/atom


Ta2IrSe: relaxed, GGA-PBE.

Cell lengths 4.063, 4.063, 4.122 Å; angles 90.00, 90.00, 90.00 degrees
Space group P4/mmm (No. 123)
One atom of each set of equivalent atoms:
Ta  0.000  0.500  0.000 [2 per cell]
Ir  0.000  0.000  0.500 [1 per cell]
Se  0.500  0.500  0.500 [1 per cell]

Values from the calculation:
Crystal system: tetragonal
E_form (uncorrected): 146.4 meV/atom